First-principles (PBE with a Hubbard U) data for a relaxed AcAg2MoO6 crystal, as listed in Alexandria.

For the total energy, the calculation gives -61.15 eV per cell.

a = 5.879 Å, b = 5.876 Å, c = 6.063 Å
α = 60.97°, β = 61.05°, γ = 60.01°
Last column: magnetic moment on the atom in μB.
Fractional positions:
O  0.405  0.663  0.794  0.18
O  0.137  0.405  0.795  0.17
O  0.539  0.227  0.251  0.04
O  0.228  0.983  0.252  0.04
O  0.663  0.139  0.793  0.18
O  0.984  0.537  0.252  0.04
Ag  0.060  0.061  0.817  0.17
Ag  0.526  0.527  0.420  0.19
Mo  0.309  0.310  0.071  -0.05
Ac  0.810  0.810  0.570  0.00